The following is a DFT calculation (PBE+U) of an optimized crystal structure of Fe2TeO.

The calculation puts the density of states at the Fermi level at 1.27 states/eV per atom. The symmetry is Fm-3m. The excess energy over the best structure of this formula in the dataset comes out at 1.114 eV per atom.

Lattice parameters (Å, degrees): 4.490 4.490 4.490 60.00 60.00 60.00
Site moments in Bohr magnetons follow the coordinates.
Sites, in units of the cell vectors:
1 Te 0.500 0.500 0.500  0.03
2 Fe 0.250 0.250 0.250  3.60
3 Fe 0.750 0.750 0.750  3.60
4 O 0.000 0.000 0.000  -0.04